#1
{
  "formula": "Ce6Sn2Pb",
  "functional": "PBE",
  "state": "relaxed",
  "lattice_angstrom": [[9.114, 0.000, 0.000], [-4.557, 7.893, 0.000], [0.000, 0.000, 3.246]],
  "species": ["Ce", "Ce", "Ce", "Ce", "Ce", "Ce", "Sn", "Sn", "Pb"],
  "frac_coords": [[0.000, 0.345, 0.000], [0.000, 0.655, 0.000], [0.345, 0.000, 0.000], [0.345, 0.345, 0.000], [0.655, 0.000, 0.000], [0.655, 0.655, 0.000], [0.333, 0.667, 0.500], [0.667, 0.333, 0.500], [0.000, 0.000, 0.500]]
}

***

#2
{
  "formula": "Ce6Sn2Pb",
  "functional": "PBE",
  "state": "relaxed",
  "lattice_angstrom": [[-1.621, 4.390, 8.490], [1.621, -4.390, 8.490], [1.621, 4.390, -8.490]],
  "species": ["Ce", "Ce", "Ce", "Ce", "Ce", "Ce", "Sn", "Sn", "Pb"],
  "frac_coords": [[0.154, 0.000, 0.154], [0.179, 0.834, 0.345], [0.489, 0.834, 0.655], [0.511, 0.166, 0.345], [0.821, 0.166, 0.655], [0.846, 0.000, 0.846], [0.157, 0.657, 0.500], [0.843, 0.343, 0.500], [0.500, 0.500, 0.000]]
}

***

Of them, #2 has the lowest stability.